## KHfP2Cl (PBE)

Data for crystalline KHfP2Cl at its relaxed geometry.

The structure belongs to space group P4/mmm (No. 123); the cell edges are 4.9868, 4.9868 and 5.3596 Å and the angles 90.00°, 90.00° and 90.00°. The inequivalent atoms are K at (0.0000, 0.0000, 0.0000), Hf at (0.5000, 0.5000, 0.5000), P at (0.0000, 0.5000, 0.5000) and Cl at (0.5000, 0.5000, 0.0000).

For the polymorph energy (0 for the lowest one), the calculation gives 0.00 eV/f.u. The calculation puts the density of states at the Fermi level at 1.72 states/eV per cell. The energy relative to the elements, uncorrected is -66.1 kJ per mole of atoms.